No. 1
A relaxed structure of HoZn3Ir3, computed with PBE-GGA.

Cell lengths 6.710, 6.710, 6.710 Å; angles 90.00, 90.00, 90.00 degrees
Fractional positions:
Zn 0.000 0.250 0.500
Zn 0.000 0.750 0.500
Zn 0.500 0.000 0.750
Zn 0.750 0.500 0.000
Zn 0.500 0.000 0.250
Zn 0.250 0.500 0.000
Ir 0.250 0.000 0.500
Ir 0.000 0.500 0.250
Ir 0.500 0.750 0.000
Ir 0.750 0.000 0.500
Ir 0.000 0.500 0.750
Ir 0.500 0.250 0.000
Ho 0.500 0.500 0.500
Ho 0.000 0.000 0.000

Output
Crystal system: cubic

***

No. 2
A relaxed structure of HoZn2Ir2, computed with PBE-GGA.

Cell lengths 3.941, 3.941, 11.722 Å; angles 99.68, 99.68, 90.00 degrees
Fractional positions:
Ho 0.629 0.629 0.258
Ho 0.371 0.371 0.742
Zn 0.000 0.500 0.000
Zn 0.179 0.179 0.358
Zn 0.500 0.000 0.000
Zn 0.821 0.821 0.642
Ir 0.750 0.250 0.500
Ir 0.929 0.929 0.858
Ir 0.071 0.071 0.142
Ir 0.250 0.750 0.500

Output
Crystal system: tetragonal

***

No. 3
A relaxed structure of Ho4Zn3Ir, computed with PBE-GGA.

Cell lengths 3.528, 3.528, 14.007 Å; angles 90.00, 90.00, 90.00 degrees
Fractional positions:
Zn 0.500 0.500 0.248
Zn 0.500 0.500 0.500
Zn 0.500 0.500 0.752
Ir 0.500 0.500 0.000
Ho 0.000 0.000 0.886
Ho 0.000 0.000 0.114
Ho 0.000 0.000 0.373
Ho 0.000 0.000 0.627

Output
Crystal system: tetragonal

***

No. 4
A relaxed structure of HoZr2Ir3, computed with PBE-GGA.

Cell lengths 3.298, 3.298, 10.392 Å; angles 90.00, 90.00, 90.00 degrees
Fractional positions:
Ho 0.500 0.500 0.500
Zr 0.500 0.500 0.837
Zr 0.500 0.500 0.163
Ir 0.000 0.000 0.000
Ir 0.000 0.000 0.687
Ir 0.000 0.000 0.313

Output
Crystal system: tetragonal

***

No. 5
A relaxed structure of HoZr5Ir6, computed with PBE-GGA.

Cell lengths 4.680, 6.746, 8.315 Å; angles 66.07, 69.05, 90.00 degrees
Fractional positions:
Ir 0.835 0.572 0.344
Ir 0.835 0.084 0.344
Ir 0.500 0.739 0.000
Ir 0.500 0.261 0.000
Ir 0.165 0.916 0.656
Ir 0.165 0.428 0.656
Ho 0.000 0.000 0.000
Zr 0.666 0.166 0.668
Zr 0.341 0.333 0.334
Zr 0.000 0.500 0.000
Zr 0.659 0.667 0.666
Zr 0.334 0.834 0.332

Output
Crystal system: monoclinic

***

No. 6
A relaxed structure of Ho2ZrIr3, computed with PBE-GGA.

Cell lengths 4.764, 4.764, 5.893 Å; angles 90.00, 90.00, 120.00 degrees
Fractional positions:
Ho 0.667 0.333 0.337
Ho 0.333 0.667 0.663
Zr 0.000 0.000 0.000
Ir 0.000 0.000 0.500
Ir 0.667 0.333 0.854
Ir 0.333 0.667 0.146

Output
Crystal system: trigonal

***

Number 1: E_form 579 meV per atom. Number 2: E_form -437 meV per atom. Number 3: E_form -496 meV per atom. Number 4: E_form -813 meV per atom. Number 5: E_form -790 meV per atom. Number 6: E_form -822 meV per atom.